Below is RbTlIO2 after structural relaxation, with properties calculated at the PBE level.

Structure (POSCAR):
```
RbTlIO2
1.0
4.6716 0.0000 0.0000
0.0000 4.6716 0.0000
0.0000 0.0000 6.2223
Rb Tl I O
1 1 1 2
direct
0.0000 0.0000 0.0000
0.5000 0.5000 0.5000
0.5000 0.5000 0.0000
0.0000 0.5000 0.5000
0.5000 0.0000 0.5000
```

## Properties
excess energy over the best structure of this formula in the dataset: 0.0000 eV/atom
total energy: -0.243 Ry per atom
ΔE_f (raw): -1.7 eV per formula unit
DOS(E_F): 2.62 states/eV/f.u.

=====

Below is Ac5HoAu6 after structural relaxation, with properties calculated at the PBE level.

Structure (POSCAR):
```
Ac5HoAu6
1.0
9.0887 -2.7250 0.0000
9.0887 2.7250 0.0000
-3.2408 0.0000 6.9606
Ac Ho Au
5 1 6
direct
0.0000 0.0000 0.0000
0.3326 0.3326 0.3331
0.3336 0.3336 0.8342
0.6664 0.6664 0.1658
0.6674 0.6674 0.6669
0.0000 0.0000 0.5000
0.1568 0.1568 0.4206
0.1567 0.1567 0.8922
0.4999 0.4999 0.2748
0.5001 0.5001 0.7252
0.8433 0.8433 0.1078
0.8432 0.8432 0.5794
```

## Properties
total energy: -0.331 Ry per atom
formation energy from the elements: -74.2 kJ per mole of atoms
DOS(E_F): 6.51 states/eV/f.u.

=====

Below is HgTe2Pt after structural relaxation, with properties calculated at the PBE level.

Structure (POSCAR):
```
HgTe2Pt
1.0
8.1444 0.0000 0.0000
0.0000 8.1133 0.0000
-0.0149 0.0000 3.1040
Hg Te Pt
2 4 2
direct
0.0000 0.0000 0.0000
0.5000 0.5000 0.0000
0.2500 0.2500 0.0000
0.2500 0.7500 0.0000
0.7500 0.2500 0.0000
0.7500 0.7500 0.0000
0.0000 0.5000 0.0000
0.5000 0.0000 0.0000
```

## Properties
total energy: -0.225 Ry per atom
ΔE_f (raw): 0.4 eV per formula unit
DOS(E_F): 2.07 states/eV/f.u.

=====

Below is Tl2HgSb2Pb2 after structural relaxation, with properties calculated at the PBE level.

Structure (POSCAR):
```
Tl2HgSb2Pb2
1.0
5.3091 0.0000 0.0000
-2.0339 5.9797 0.0000
-0.4329 -0.3607 6.8414
Tl Hg Sb Pb
2 1 2 2
direct
0.0866 0.1652 0.2619
0.9134 0.8348 0.7381
0.5000 0.0000 0.0000
0.3637 0.7543 0.4388
0.6363 0.2457 0.5612
0.2485 0.4232 0.7988
0.7515 0.5768 0.2012
```

## Properties
total energy: -0.216 Ry per atom
ΔE_f (raw): 0.1 eV per formula unit
DOS(E_F): 2.32 states/eV/f.u.

=====

Below is Cs2YCoI6 after structural relaxation, with properties calculated at the PBE level.

Structure (POSCAR):
```
Cs2YCoI6
1.0
-4.1726 4.1726 5.8949
4.1726 -4.1726 5.8949
4.1726 4.1726 -5.8949
Cs Y Co I
2 1 1 6
direct
0.2500 0.7500 0.5000
0.7500 0.2500 0.5000
0.0000 0.0000 0.0000
0.5000 0.5000 0.0000
0.2581 0.2581 0.0000
0.2578 0.2578 0.5155
0.2578 0.7422 0.0000
0.7422 0.2578 0.0000
0.7419 0.7419 0.0000
0.7422 0.7422 0.4845
```

## Properties
total energy: -0.259 Ry per atom
ΔE_f (raw): -10.6 eV per formula unit
DOS(E_F): 0.00 states/eV/f.u.

=====

Below is GeSe3O9 after structural relaxation, with properties calculated at the PBE level.

Structure (POSCAR):
```
GeSe3O9
1.0
7.7430 -3.3852 0.0000
7.7430 3.3852 0.0000
-5.5570 0.0000 7.7266
Ge Se O
2 6 18
direct
0.2320 0.7680 0.5000
0.7680 0.2320 0.0000
0.9999 0.2017 0.7970
0.2017 0.9999 0.2970
0.3146 0.5000 0.7095
0.5000 0.3146 0.2095
0.7005 0.7903 0.7551
0.7903 0.7005 0.2551
0.0591 0.9918 0.0775
0.0633 0.6348 0.3868
0.1281 0.8518 0.3038
0.2506 0.4311 0.0708
0.3415 0.6869 0.7043
0.4195 0.8871 0.6314
0.4311 0.2506 0.5708
0.4674 0.7857 0.2823
0.4775 0.4838 0.9198
0.4838 0.4775 0.4198
0.6348 0.0633 0.8868
0.6869 0.3415 0.2043
0.6882 0.8503 0.1326
0.7857 0.4674 0.7823
0.8503 0.6882 0.6326
0.8518 0.1281 0.8038
0.8871 0.4195 0.1314
0.9918 0.0591 0.5775
```

## Properties
total energy: -0.387 Ry per atom
ΔE_f (raw): -8.8 eV per formula unit
DOS(E_F): 2.02 states/eV/f.u.

=====

Below is LiTlCd2H after structural relaxation, with properties calculated at the PBE level.

Structure (POSCAR):
```
LiTlCd2H
1.0
5.1084 0.0000 0.0000
0.0000 5.1084 0.0000
0.0000 0.0000 3.6647
Li Tl Cd H
1 1 2 1
direct
0.0000 0.0000 0.0000
0.5000 0.5000 0.0000
0.0000 0.5000 0.5000
0.5000 0.0000 0.5000
0.0000 0.0000 0.5000
```

## Properties
total energy: -0.136 Ry per atom
DOS(E_F): 1.01 states/eV/f.u.

=====

Below is ThBeGe after structural relaxation, with properties calculated at the PBE level.

Structure (POSCAR):
```
ThBeGe
1.0
3.9741 0.0000 0.0000
-1.9871 3.4417 0.0000
0.0000 0.0000 4.3045
Th Be Ge
1 1 1
direct
0.0000 0.0000 0.0000
0.3333 0.6667 0.5000
0.6667 0.3333 0.5000
```

## Properties
total energy: -0.433 Ry per atom
formation energy from the elements: -62.0 kJ per mole of atoms
DOS(E_F): 0.63 states/eV/f.u.